Entry 1:
Here is K2Na2Sn3 after structural relaxation from Alexandria via LeMat-Bulk. Energies are from GGA-PBE.

Summary:
The value obtained for the density of states at the Fermi level is 3.28 states/eV per cell. As for the formation energy: -147 meV/atom.

Cell lengths 5.5407, 6.8950, 7.8440 Å; angles 113.50, 90.00, 113.69 degrees
Fractional positions:
K 0.1580 0.3159 0.7675
K 0.8420 0.6841 0.2325
Na 0.8605 0.7209 0.7407
Sn 0.5821 0.1641 0.4146
Na 0.1395 0.2791 0.2593
Sn 0.4179 0.8359 0.5854
Sn 0.5000 0.0000 0.0000

=====

Entry 2:
Here is K3Na2Sn4 after structural relaxation from Alexandria via LeMat-Bulk. Energies are from GGA-PBE.

Summary:
The value obtained for the density of states at the Fermi level is 3.42 states/eV per cell. As for the formation energy: -128 meV/atom.

Cell lengths 5.5653, 6.9173, 10.9092 Å; angles 65.50, 72.73, 66.92 degrees
Fractional positions:
Sn 0.0992 0.4703 0.3667
K 0.6083 0.1391 0.6189
K 0.3917 0.8609 0.3811
Na 0.2880 0.5990 0.7651
Sn 0.2975 0.3899 0.0896
Sn 0.7025 0.6101 0.9104
Na 0.7120 0.4010 0.2349
K 0.0000 0.0000 0.0000
Sn 0.9008 0.5297 0.6333

=====

Entry 3:
Here is KNa9Sn2 after structural relaxation from Alexandria via LeMat-Bulk. Energies are from GGA-PBE.

Summary:
The value obtained for the density of states at the Fermi level is 5.51 states/eV per cell. As for the formation energy: 55 meV/atom.

Cell lengths 6.7015, 6.7015, 11.3225 Å; angles 72.79, 72.79, 60.00 degrees
Fractional positions:
Na 0.3957 0.3957 0.2868
Na 0.6043 0.0781 0.7132
Na 0.6626 0.6626 0.0123
Na 0.0781 0.6043 0.7132
K 0.0000 0.0000 0.0000
Sn 0.8532 0.8532 0.4405
Na 0.3957 0.9219 0.2868
Sn 0.1468 0.1468 0.5595
Na 0.6043 0.6043 0.7132
Na 0.5000 0.5000 0.5000
Na 0.9219 0.3957 0.2868
Na 0.3374 0.3374 0.9877

=====

Entry 4:
Here is KNa7Sn5 after structural relaxation from Alexandria via LeMat-Bulk. Energies are from GGA-PBE.

Summary:
The value obtained for the density of states at the Fermi level is 7.03 states/eV per cell. As for the formation energy: -145 meV/atom.

Cell lengths 6.8094, 8.4371, 8.4371 Å; angles 80.15, 66.20, 66.20 degrees
Fractional positions:
K 0.0242 0.9758 0.9758
Sn 0.0198 0.5168 0.0006
Na 0.9798 0.3533 0.6870
Na 0.6899 0.3101 0.3101
Sn 0.0198 0.0006 0.5168
Na 0.9798 0.6870 0.3533
Na 0.2681 0.2319 0.2319
Na 0.3555 0.6445 0.6445
Sn 0.7268 0.7732 0.7732
Sn 0.4628 0.5168 0.0006
Sn 0.4628 0.0006 0.5168
Na 0.5053 0.2022 0.7871
Na 0.5053 0.7871 0.2022

=====

Entry 5:
Here is K2NaSn9 after structural relaxation from Alexandria via LeMat-Bulk. Energies are from GGA-PBE.

Summary:
The value obtained for the density of states at the Fermi level is 5.02 states/eV per cell. As for the formation energy: -96 meV/atom.

Cell lengths 6.6471, 6.6471, 10.7370 Å; angles 71.97, 71.97, 60.00 degrees
Fractional positions:
Sn 0.5938 0.0638 0.7485
Sn 0.4062 0.4062 0.2515
Sn 0.5000 0.5000 0.5000
Sn 0.3414 0.3414 0.9759
Sn 0.6586 0.6586 0.0241
Sn 0.9362 0.4062 0.2515
Sn 0.5938 0.5938 0.7485
K 0.8605 0.8605 0.4184
Sn 0.0638 0.5938 0.7485
Na 0.0000 0.0000 0.0000
Sn 0.4062 0.9362 0.2515
K 0.1395 0.1395 0.5816

=====

Entry 6:
Here is KNa3Sn2 after structural relaxation from Alexandria via LeMat-Bulk. Energies are from GGA-PBE.

Summary:
The value obtained for the density of states at the Fermi level is 5.77 states/eV per cell. As for the formation energy: -76 meV/atom.

Cell lengths 6.0499, 9.4943, 9.4943 Å; angles 123.88, 90.00, 90.00 degrees
Fractional positions:
Na 0.2500 0.4797 0.8770
Sn 0.0000 0.1575 0.8425
Na 0.2500 0.8770 0.4797
Sn 0.0000 0.8425 0.1575
Sn 0.5000 0.1575 0.8425
Na 0.7500 0.1230 0.5203
Na 0.2500 0.8886 0.8886
K 0.2500 0.3118 0.3118
Na 0.7500 0.5203 0.1230
Sn 0.5000 0.8425 0.1575
Na 0.7500 0.1114 0.1114
K 0.7500 0.6882 0.6882

=====

Entry 7:
Here is KNaSn2 after structural relaxation from Alexandria via LeMat-Bulk. Energies are from GGA-PBE.

Summary:
The energy above the lowest structure with this stoichiometry is 0 meV per atom. The value obtained for the density of states at the Fermi level is 4.54 states/eV per cell. As for the formation energy: -177 meV/atom.

Cell lengths 7.7847, 8.4041, 8.9790 Å; angles 90.00, 90.00, 90.00 degrees
Fractional positions:
K 0.7500 0.0142 0.3364
K 0.7500 0.5142 0.1636
Sn 0.0654 0.8402 0.0350
Na 0.7500 0.8427 0.8072
Sn 0.4346 0.8402 0.0350
Sn 0.5654 0.1598 0.9650
Na 0.2500 0.1573 0.1928
Sn 0.9346 0.6598 0.5350
Sn 0.9346 0.1598 0.9650
K 0.2500 0.9858 0.6636
Na 0.2500 0.6573 0.3072
Sn 0.5654 0.6598 0.5350
Na 0.7500 0.3427 0.6928
Sn 0.4346 0.3402 0.4650
Sn 0.0654 0.3402 0.4650
K 0.2500 0.4858 0.8364

=====

Entry 8:
Here is K3NaSn after structural relaxation from Alexandria via LeMat-Bulk. Energies are from GGA-PBE.

Summary:
The energy above the lowest structure with this stoichiometry is 0 meV per atom. The value obtained for the density of states at the Fermi level is 11.87 states/eV per cell. As for the formation energy: -58 meV/atom.

Cell lengths 9.2789, 7.5446, 13.9302 Å; angles 90.00, 83.20, 90.00 degrees
Fractional positions:
K 0.4984 0.2354 0.1131
Na 0.9043 0.4064 0.3969
K 0.8527 0.0958 0.9328
Na 0.0957 0.4064 0.1031
K 0.2702 0.3127 0.8187
K 0.8527 0.9042 0.4328
K 0.7298 0.3127 0.6813
Sn 0.1529 0.1688 0.2889
K 0.2702 0.6873 0.3187
Na 0.9043 0.5936 0.8969
Sn 0.8471 0.8312 0.7111
K 0.4984 0.7646 0.6131
K 0.5016 0.7646 0.8869
Na 0.0957 0.5936 0.6031
Sn 0.8471 0.1688 0.2111
K 0.7298 0.6873 0.1813
K 0.5016 0.2354 0.3869
Sn 0.1529 0.8312 0.7889
K 0.1473 0.0958 0.5672
K 0.1473 0.9042 0.0672

=====

Number 1: ρ 3.229 g/cm3. Number 2: ρ 3.053 g/cm3. Number 3: ρ 1.940 g/cm3. Number 4: ρ 3.248 g/cm3. Number 5: ρ 5.061 g/cm3. Number 6: ρ 2.534 g/cm3. Number 7: ρ 3.387 g/cm3. Number 8: ρ 1.777 g/cm3.